No. 1
Compound: V3H4NO7
Source: the Alexandria database
Functional: PBE with a Hubbard U
Structure: relaxed

```
V3H4NO7
1.0
8.281 -1.902 0.000
8.281 1.902 0.000
-7.824 0.000 10.009
V H N O
6 8 2 14
Direct
0.058 0.058 0.168
0.208 0.208 0.052
0.442 0.442 0.221
0.558 0.558 0.779
0.792 0.792 0.948
0.942 0.942 0.832
0.102 0.666 0.489
0.165 0.165 0.657
0.231 0.231 0.597
0.334 0.898 0.511
0.666 0.102 0.489
0.769 0.769 0.403
0.835 0.835 0.343
0.898 0.334 0.511
0.158 0.158 0.571
0.842 0.842 0.429
0.069 0.069 0.834
0.102 0.102 0.073
0.162 0.162 0.324
0.301 0.301 0.998
0.316 0.316 0.216
0.471 0.471 0.611
0.476 0.476 0.844
0.524 0.524 0.156
0.529 0.529 0.389
0.684 0.684 0.784
0.699 0.699 0.002
0.838 0.838 0.676
0.898 0.898 0.927
0.931 0.931 0.166
```

Computed properties:
- N(E_F): 0.0 states/eV/cell
- Space-group type: No. 12
- Raw total energy: -6.70 eV per atom

No. 2
Compound: VH4NO3
Source: the Alexandria database
Functional: PBE with a Hubbard U
Structure: relaxed

```
VH4NO3
1.0
4.814 0.000 0.000
0.000 12.099 0.000
0.000 0.000 5.975
V H N O
4 16 4 12
Direct
0.036 0.176 0.250
0.036 0.324 0.750
0.964 0.676 0.250
0.964 0.824 0.750
0.251 0.535 0.750
0.251 0.965 0.250
0.388 0.029 0.750
0.388 0.471 0.250
0.439 0.632 0.611
0.439 0.632 0.889
0.439 0.868 0.111
0.439 0.868 0.389
0.561 0.132 0.611
0.561 0.132 0.889
0.561 0.368 0.111
0.561 0.368 0.389
0.612 0.529 0.750
0.612 0.971 0.250
0.749 0.035 0.750
0.749 0.465 0.250
0.436 0.581 0.750
0.436 0.919 0.250
0.564 0.081 0.750
0.564 0.419 0.250
0.071 0.543 0.250
0.071 0.957 0.750
0.081 0.750 0.000
0.081 0.750 0.500
0.381 0.174 0.250
0.381 0.326 0.750
0.619 0.674 0.250
0.619 0.826 0.750
0.919 0.250 0.000
0.919 0.250 0.500
0.929 0.043 0.250
0.929 0.457 0.750
```

Computed properties:
- N(E_F): 0.0 states/eV/cell
- Space-group type: No. 57
- Raw total energy: -6.00 eV per atom

No. 3
Compound: V3H8N2O8
Source: the Alexandria database
Functional: PBE with a Hubbard U
Structure: relaxed

```
V3H8N2O8
1.0
9.030 0.000 0.000
0.000 9.030 0.000
0.000 0.000 5.746
V H N O
6 16 4 16
Direct
0.000 0.000 0.000
0.133 0.367 0.001
0.367 0.867 0.001
0.500 0.500 0.000
0.633 0.133 0.001
0.867 0.633 0.001
0.112 0.612 0.438
0.114 0.745 0.645
0.245 0.614 0.645
0.247 0.747 0.437
0.253 0.247 0.437
0.255 0.114 0.645
0.386 0.245 0.645
0.388 0.112 0.438
0.612 0.888 0.438
0.614 0.755 0.645
0.745 0.886 0.645
0.747 0.753 0.437
0.753 0.253 0.437
0.755 0.386 0.645
0.886 0.255 0.645
0.888 0.388 0.438
0.178 0.678 0.539
0.322 0.178 0.539
0.678 0.822 0.539
0.822 0.322 0.539
0.000 0.000 0.285
0.000 0.500 0.892
0.083 0.193 0.893
0.132 0.368 0.293
0.193 0.917 0.893
0.307 0.417 0.893
0.368 0.868 0.293
0.417 0.693 0.893
0.500 0.000 0.892
0.500 0.500 0.285
0.583 0.307 0.893
0.632 0.132 0.293
0.693 0.583 0.893
0.807 0.083 0.893
0.868 0.632 0.293
0.917 0.807 0.893
```

Computed properties:
- N(E_F): 0.0 states/eV/cell
- Space-group type: No. 100
- Raw total energy: -6.26 eV per atom